[1]
{"formula": "CsKCo2Cl8", "functional": "PBE-GGA", "state": "optimized geometry", "sg": "R-3", "dos_at_fermi_per_ev_atom": 1.14, "e_form_raw_mev_per_atom": -1051, "vol_a3_per_cell": 405, "lattice_angstrom": [[3.426, 1.978, 9.957], [-3.426, 1.978, 9.957], [0.000, -3.956, 9.957]], "species": ["Cs", "K", "Co", "Co", "Cl", "Cl", "Cl", "Cl", "Cl", "Cl", "Cl", "Cl"], "frac_coords": [[0.000, 0.000, 0.000], [0.500, 0.500, 0.500], [0.254, 0.254, 0.254], [0.746, 0.746, 0.746], [0.047, 0.448, 0.813], [0.187, 0.953, 0.552], [0.327, 0.327, 0.327], [0.448, 0.813, 0.047], [0.552, 0.187, 0.953], [0.673, 0.673, 0.673], [0.813, 0.047, 0.448], [0.953, 0.552, 0.187]]}

***

[2]
{"formula": "HgMoSe2", "functional": "PBE-GGA", "state": "optimized geometry", "sg": "P4mm", "dos_at_fermi_per_ev_atom": 0.57, "e_form_raw_mev_per_atom": -10, "vol_a3_per_cell": 106, "lattice_angstrom": [[3.245, 0.000, 0.000], [0.000, 3.245, 0.000], [0.000, 0.000, 10.040]], "species": ["Hg", "Mo", "Se", "Se"], "frac_coords": [[0.000, 0.000, 0.000], [0.500, 0.500, 0.487], [0.000, 0.000, 0.369], [0.500, 0.500, 0.716]]}

***

[3]
{"formula": "LaPbW4", "functional": "PBE-GGA", "state": "optimized geometry", "e_tot_ev_per_fu": -56.8, "sg": "F-43m", "dos_at_fermi_per_ev_atom": 1.00, "vol_a3_per_cell": 123, "lattice_angstrom": [[0.000, 3.945, 3.945], [3.945, 0.000, 3.945], [3.945, 3.945, 0.000]], "species": ["La", "Pb", "W", "W", "W", "W"], "frac_coords": [[0.000, 0.000, 0.000], [0.750, 0.750, 0.750], [0.375, 0.375, 0.375], [0.375, 0.375, 0.876], [0.375, 0.876, 0.375], [0.876, 0.375, 0.375]]}

***

[4]
{"formula": "Nd3Sm6Sc", "functional": "PBE-GGA", "state": "optimized geometry", "e_tot_ev_per_fu": -46.7, "sg": "R-3", "dos_at_fermi_per_ev_atom": 1.98, "vol_a3_per_cell": 337, "lattice_angstrom": [[4.979, 2.875, 3.927], [-4.979, 2.875, 3.927], [0.000, -5.750, 3.927]], "species": ["Nd", "Nd", "Nd", "Sm", "Sm", "Sm", "Sm", "Sm", "Sm", "Sc"], "frac_coords": [[0.000, 0.000, 0.000], [0.255, 0.255, 0.255], [0.745, 0.745, 0.745], [0.084, 0.744, 0.424], [0.256, 0.576, 0.916], [0.424, 0.084, 0.744], [0.576, 0.916, 0.256], [0.744, 0.424, 0.084], [0.916, 0.256, 0.576], [0.500, 0.500, 0.500]]}

***

[5]
{"formula": "K2CrCo", "functional": "PBE-GGA", "state": "optimized geometry", "e_tot_ev_per_fu": -13.5, "sg": "P4/mmm", "dos_at_fermi_per_ev_atom": 2.03, "vol_a3_per_cell": 111, "lattice_angstrom": [[4.515, 0.000, 0.000], [0.000, 4.515, 0.000], [0.000, 0.000, 5.449]], "species": ["K", "K", "Cr", "Co"], "frac_coords": [[0.000, 0.500, 0.000], [0.500, 0.000, 0.000], [0.000, 0.000, 0.500], [0.500, 0.500, 0.500]]}

***

[6]
{"formula": "BaSr2NiHg", "functional": "PBE-GGA", "state": "optimized geometry", "e_tot_ev_per_fu": -11.8, "sg": "P4/mmm", "dos_at_fermi_per_ev_atom": 0.66, "vol_a3_per_cell": 199, "lattice_angstrom": [[5.767, 0.000, 0.000], [0.000, 5.767, 0.000], [0.000, 0.000, 5.981]], "species": ["Ba", "Sr", "Sr", "Ni", "Hg"], "frac_coords": [[0.000, 0.000, 0.000], [0.000, 0.500, 0.500], [0.500, 0.000, 0.500], [0.000, 0.000, 0.500], [0.500, 0.500, 0.000]]}

***

[7]
{"formula": "Ti3TcI", "functional": "PBE-GGA", "state": "optimized geometry", "sg": "Pm-3m", "dos_at_fermi_per_ev_atom": 1.05, "e_form_raw_mev_per_atom": 520, "vol_a3_per_cell": 110, "lattice_angstrom": [[4.798, 0.000, 0.000], [0.000, 4.798, 0.000], [0.000, 0.000, 4.798]], "species": ["Ti", "Ti", "Ti", "Tc", "I"], "frac_coords": [[0.000, 0.000, 0.500], [0.000, 0.500, 0.000], [0.500, 0.000, 0.000], [0.000, 0.000, 0.000], [0.500, 0.500, 0.500]]}

***

[8]
{"formula": "InP", "functional": "PBE-GGA", "state": "optimized geometry", "e_tot_ev_per_fu": -8.2, "sg": "P2_12_12_1", "dos_at_fermi_per_ev_atom": 0.00, "vol_a3_per_cell": 496, "lattice_angstrom": [[7.551, 0.000, 0.000], [0.000, 7.600, 0.000], [0.000, 0.000, 8.646]], "species": ["In", "In", "In", "In", "In", "In", "In", "In", "P", "P", "P", "P", "P", "P", "P", "P"], "frac_coords": [[0.138, 0.058, 0.230], [0.161, 0.599, 0.965], [0.339, 0.401, 0.465], [0.362, 0.942, 0.730], [0.638, 0.442, 0.770], [0.661, 0.901, 0.035], [0.839, 0.099, 0.535], [0.862, 0.558, 0.270], [0.162, 0.403, 0.211], [0.185, 0.106, 0.528], [0.315, 0.894, 0.028], [0.338, 0.597, 0.711], [0.662, 0.097, 0.789], [0.685, 0.394, 0.472], [0.815, 0.606, 0.972], [0.838, 0.903, 0.289]]}